A relaxed LiAcMgPb crystal, computed with PBE. Values from VASP.

Cell and atoms, written as Quantum ESPRESSO input:
```
&SYSTEM
  ibrav = 0, nat = 4, ntyp = 4
/
ATOMIC_SPECIES
Li 6.94 Li.upf
Ac 227.00 Ac.upf
Mg 24.30 Mg.upf
Pb 207.20 Pb.upf
ATOMIC_POSITIONS crystal
Li 0.0000 0.0000 0.0000
Ac 0.2500 0.2500 0.2500
Mg 0.5000 0.5000 0.5000
Pb 0.7500 0.7500 0.7500
CELL_PARAMETERS angstrom
0.0000 3.7977 3.7977
3.7977 0.0000 3.7977
3.7977 3.7977 0.0000
```

Properties
Formation energy from the elements (meV/atom): -166
ρ (Mg/m³): 7.06
E_tot (eV/cell): -12.0



A relaxed LiAcMg2Pb4 crystal, computed with PBE. Values from VASP.

Cell and atoms, written as Quantum ESPRESSO input:
```
&SYSTEM
  ibrav = 0, nat = 8, ntyp = 4
/
ATOMIC_SPECIES
Li 6.94 Li.upf
Ac 227.00 Ac.upf
Mg 24.30 Mg.upf
Pb 207.20 Pb.upf
ATOMIC_POSITIONS crystal
Li 0.0000 0.0000 0.0000
Ac 0.5000 0.5000 0.5000
Mg 0.2535 0.2535 0.2535
Mg 0.7465 0.7465 0.7465
Pb 0.1081 0.1081 0.1081
Pb 0.3674 0.3674 0.3674
Pb 0.6326 0.6326 0.6326
Pb 0.8919 0.8919 0.8919
CELL_PARAMETERS angstrom
2.6195 1.5123 9.3882
-2.6195 1.5123 9.3882
0.0000 -3.0247 9.3882
```

Properties
Formation energy from the elements (meV/atom): -246
ρ (Mg/m³): 8.27
E_tot (eV/cell): -26.0



A relaxed Li3Ac2MgPb4 crystal, computed with PBE. Values from VASP.

Cell and atoms, written as Quantum ESPRESSO input:
```
&SYSTEM
  ibrav = 0, nat = 10, ntyp = 4
/
ATOMIC_SPECIES
Li 6.94 Li.upf
Ac 227.00 Ac.upf
Mg 24.30 Mg.upf
Pb 207.20 Pb.upf
ATOMIC_POSITIONS crystal
Li 0.0000 0.0000 0.0000
Li 0.0000 0.5000 0.6293
Li 0.5000 0.0000 0.3707
Ac 0.0000 0.5000 0.2528
Ac 0.5000 0.0000 0.7472
Mg 0.5000 0.5000 0.0000
Pb 0.0000 0.0000 0.5000
Pb 0.0000 0.5000 0.8565
Pb 0.5000 0.0000 0.1435
Pb 0.5000 0.5000 0.5000
CELL_PARAMETERS angstrom
4.7718 0.0000 0.0000
0.0000 4.7718 0.0000
0.0000 0.0000 11.8016
```

Properties
Formation energy from the elements (meV/atom): -451
ρ (Mg/m³): 8.21
E_tot (eV/cell): -34.9



A relaxed LiAcMgPb2 crystal, computed with PBE. Values from VASP.

Cell and atoms, written as Quantum ESPRESSO input:
```
&SYSTEM
  ibrav = 0, nat = 5, ntyp = 4
/
ATOMIC_SPECIES
Li 6.94 Li.upf
Ac 227.00 Ac.upf
Mg 24.30 Mg.upf
Pb 207.20 Pb.upf
ATOMIC_POSITIONS crystal
Li 0.0000 0.0000 0.0000
Ac 0.7500 0.2500 0.5000
Mg 0.5000 0.5000 0.0000
Pb 0.1314 0.6314 0.5000
Pb 0.3686 0.8686 0.5000
CELL_PARAMETERS angstrom
-2.3580 2.3580 6.4513
2.3580 -2.3580 6.4513
2.3580 2.3580 -6.4513
```

Properties
Formation energy from the elements (meV/atom): -375
ρ (Mg/m³): 7.78
E_tot (eV/cell): -16.9